KUPbO6 | PBE | relaxed

```
data_KUPbO6
_cell_length_a 5.7437
_cell_length_b 5.7437
_cell_length_c 11.8768
_cell_angle_alpha 90.00
_cell_angle_beta 90.00
_cell_angle_gamma 120.00
_space_group_name_H-M_alt 'P -3 1 c'
_space_group_IT_number 163
_space_group_name_Hall '-P 3 2c'
loop_
_atom_site_label
_atom_site_fract_x
_atom_site_fract_y
_atom_site_fract_z
_atom_site_occupancy
K1 0.0000 0.0000 0.0000 1
U1 0.3333 0.6667 0.2500 1
Pb1 0.3333 0.6667 0.7500 1
O1 0.0167 0.3828 0.1524 1
```

Calculated values
formation energy from raw total energies = -1.766 eV per atom